## HfScIN2 (PBE)

Data for an optimized crystal structure of HfScIN2.

Cell and atoms, written as extended XYZ:
```
5
Lattice="-3.2480 2.5410 -0.8039 -2.2424 -3.2904 -1.3407 -1.9273 -0.8127 5.2180" Properties=species:S:1:pos:R:3 pbc="T T T"
N -1.6240 1.2705 -0.4020
Sc -3.7088 -0.7810 1.5367
Hf 0.0000 0.0000 0.0000
I -0.9636 -0.4063 2.6090
N -1.1212 -1.6452 -0.6703
```

## Properties
**Total magnetization**: 0.00 μB per formula unit
**Symmetry**: P4/mmm (123)
**Energy relative to the elements, uncorrected**: 0.061 eV/atom